# BeMoIr, relaxed, DFT PBE-GGA
data_BeMoIr
_cell_length_a 2.8147
_cell_length_b 2.8147
_cell_length_c 9.6246
_cell_angle_alpha 90.00
_cell_angle_beta 90.00
_cell_angle_gamma 90.00
_symmetry_space_group_name_H-M 'I 4 m m'
_symmetry_Int_Tables_number 107
_symmetry_space_group_name_Hall 'I 4 -2'
loop_
_atom_site_label
_atom_site_fract_x
_atom_site_fract_y
_atom_site_fract_z
_atom_site_occupancy
Be1 0.0000 0.0000 0.0000 1
Mo1 0.0000 0.0000 0.6729 1
Ir1 0.0000 0.0000 0.3654 1
# total magnetic moment	0.000	μB/atom
# crystal system	tetragonal
# energy	-48.97	eV for the cell shown
# calculated volume	76.3	Å³/cell
# relative energy among the computed polymorphs	0.0000	eV per atom
# formation energy	-355	meV per atom